PrSmEu2 | PBE | relaxed

Geometry as POSCAR:
```
PrSmEu2
1.0
-0.951 -3.466 1.012
0.128 -2.775 -2.495
11.475 -4.382 2.667
Sm Pr Eu
1 1 2
Cartesian
0.000 0.000 0.000 Sm
5.326 -5.311 0.592 Pr
8.015 -7.972 0.895 Eu
2.636 -2.650 0.289 Eu
```

Energy above the most stable polymorph in this dataset ... 0.00 eV per formula unit
SG ... R-3m, No. 166
DFT formation energy ... 74 meV per atom
Total magnetization ... 15.0 μB/f.u.